4
Lattice="-0.087 -3.591 2.358 -0.992 -2.195 -3.379 4.028 -0.613 -0.785" Properties=species:S:1:pos:R:3 comment="MoPCl2, relaxed, DFT GGA-PBE" mass_density_g_cm3=4.4 crystal_system=tetragonal space_group=P4/mmm n_ef_per_ev_atom=0.7010 e_form_raw_kcal_per_mol_atoms=20.12 pbc="T T T"
Cl 0.000 0.000 0.000
Cl 1.518 -1.404 -2.082
Mo -0.540 -2.893 -0.511
P 1.971 -2.102 0.787



5
Lattice="-3.987 -2.176 1.882 2.779 -3.742 1.563 0.741 2.331 4.265" Properties=species:S:1:pos:R:3 comment="MoPCl3, relaxed, DFT GGA-PBE" mass_density_g_cm3=3.3 crystal_system=cubic space_group=Pm-3m n_ef_per_ev_atom=0.3281 e_form_raw_kcal_per_mol_atoms=15.06 pbc="T T T"
P 0.000 0.000 0.000
Mo -0.234 -1.793 3.854
Cl 1.390 -1.871 0.781
Cl 0.370 1.165 2.132
Cl -1.994 -1.088 0.941



4
Lattice="-2.722 -1.124 0.984 0.966 -2.885 -0.623 2.838 -0.597 7.171" Properties=species:S:1:pos:R:3 comment="MoP2Cl, relaxed, DFT GGA-PBE" mass_density_g_cm3=4.3 crystal_system=tetragonal space_group=P4mm n_ef_per_ev_atom=0.6265 e_form_raw_kcal_per_mol_atoms=-1.50 pbc="T T T"
Cl 1.671 -0.351 4.222
Mo 1.421 -2.488 5.988
P 2.770 -0.582 6.999
P -0.522 -2.079 1.079



4
Lattice="-2.535 0.885 1.418 1.298 -2.947 4.160 2.146 3.380 1.725" Properties=species:S:1:pos:R:3 comment="MoPCl2, relaxed, DFT GGA-PBE" mass_density_g_cm3=4.7 crystal_system=orthorhombic space_group=Pmmm n_ef_per_ev_atom=0.6982 e_form_raw_kcal_per_mol_atoms=13.67 pbc="T T T"
Cl 0.000 0.000 0.000
Cl -0.618 -1.031 2.789
Mo -0.195 2.133 1.572
P 1.722 0.217 2.942



4
Lattice="4.848 0.014 0.000 -2.616 4.082 0.000 0.000 0.000 3.235" Properties=species:S:1:pos:R:3 comment="MoP2Cl, relaxed, DFT GGA-PBE" mass_density_g_cm3=5.0 crystal_system=orthorhombic space_group=Cmmm n_ef_per_ev_atom=0.7376 e_form_raw_kcal_per_mol_atoms=12.48 pbc="T T T"
Cl 2.424 0.007 1.618
Mo -1.308 2.041 1.618
P 0.000 0.000 0.000
P 1.116 2.048 0.000



4
Lattice="-0.856 -2.580 -0.604 2.696 0.068 -0.691 2.503 -3.047 9.462" Properties=species:S:1:pos:R:3 comment="MoP2Cl, relaxed, DFT GGA-PBE" mass_density_g_cm3=4.2 crystal_system=orthorhombic space_group=Cmmm n_ef_per_ev_atom=0.7279 e_form_raw_kcal_per_mol_atoms=5.70 pbc="T T T"
Cl 1.546 -2.018 1.718
Mo 2.797 -3.541 6.449
P 2.326 -2.831 8.792
P 1.429 -1.739 5.401



4
Lattice="-2.890 0.614 3.735 0.096 -4.686 0.844 2.167 0.336 1.622" Properties=species:S:1:pos:R:3 comment="MoP2Cl, relaxed, DFT GGA-PBE" mass_density_g_cm3=5.2 crystal_system=tetragonal space_group=P4/mmm n_ef_per_ev_atom=0.8974 e_form_raw_kcal_per_mol_atoms=16.67 pbc="T T T"
Cl -0.362 0.475 2.678
Mo 1.131 -2.175 1.233
P 0.000 0.000 0.000
P -1.397 -2.036 2.289



4
Lattice="5.865 0.001 -0.002 3.288 4.856 0.002 -4.011 -3.495 2.469" Properties=species:S:1:pos:R:3 comment="MoP2Cl, relaxed, DFT GGA-PBE" mass_density_g_cm3=4.6 crystal_system=orthorhombic space_group=Immm n_ef_per_ev_atom=0.5579 e_form_raw_kcal_per_mol_atoms=8.97 pbc="T T T"
Cl 1.927 1.895 1.235
Mo 3.215 -0.533 1.233
P 8.628 4.579 0.000
P 5.102 2.708 0.000



4
Lattice="4.389 0.002 -0.006 3.242 2.958 -0.006 0.973 0.377 5.839" Properties=species:S:1:pos:R:3 comment="MoP2Cl, relaxed, DFT GGA-PBE" mass_density_g_cm3=4.2 crystal_system=monoclinic space_group=C2/m n_ef_per_ev_atom=0.8474 e_form_raw_kcal_per_mol_atoms=3.08 pbc="T T T"
Cl 6.453 2.503 4.370
Mo 2.151 0.834 1.457
P 7.569 2.935 0.617
P 4.364 1.693 2.284



4
Lattice="0.000 3.138 3.138 3.138 0.000 3.138 3.138 3.138 0.000" Properties=species:S:1:pos:R:3 comment="MoP2Cl, relaxed, DFT GGA-PBE" mass_density_g_cm3=5.2 crystal_system=cubic space_group=Fm-3m n_ef_per_ev_atom=1.7575 e_form_raw_kcal_per_mol_atoms=18.58 pbc="T T T"
P 1.569 1.569 1.569
P 4.707 4.707 4.707
Mo 3.138 3.138 3.138
Cl 0.000 0.000 0.000



4
Lattice="-1.189 -4.838 -1.683 3.674 -1.410 -3.489 -1.140 1.167 4.999" Properties=species:S:1:pos:R:3 comment="MoP2Cl, relaxed, DFT GGA-PBE" mass_density_g_cm3=4.7 crystal_system=orthorhombic space_group=Imm2 n_ef_per_ev_atom=0.7684 e_form_raw_kcal_per_mol_atoms=10.10 pbc="T T T"
Cl 1.335 -3.357 -2.778
Mo -0.517 -3.463 0.311
P 0.002 -0.005 -0.004
P 1.767 -1.380 -0.286



4
Lattice="-0.874 3.793 2.486 -3.317 3.131 0.724 -3.822 -2.212 6.132" Properties=species:S:1:pos:R:3 comment="MoPCl2, relaxed, DFT GGA-PBE" mass_density_g_cm3=3.4 crystal_system=monoclinic space_group=Cm n_ef_per_ev_atom=0.2054 e_form_raw_kcal_per_mol_atoms=-9.49 pbc="T T T"
Cl -4.583 6.666 3.851
Cl -6.032 4.477 6.682
Mo -3.406 2.429 3.810
P -2.189 0.418 2.878



4
Lattice="1.742 0.000 9.280 -0.871 1.509 9.280 -0.871 -1.509 9.280" Properties=species:S:1:pos:R:3 comment="MoPCl2, relaxed, DFT GGA-PBE" mass_density_g_cm3=4.5 crystal_system=trigonal space_group=R-3m n_ef_per_ev_atom=0.7991 e_form_raw_kcal_per_mol_atoms=11.86 pbc="T T T"
P 0.000 0.000 13.921
Mo 0.000 0.000 0.000
Cl 0.000 0.000 25.560
Cl 0.000 0.000 2.281



4
Lattice="-0.287 4.374 -1.346 -0.839 -1.376 -4.293 -3.095 -0.015 0.610" Properties=species:S:1:pos:R:3 comment="MoPCl2, relaxed, DFT GGA-PBE" mass_density_g_cm3=5.0 crystal_system=tetragonal space_group=P4/mmm n_ef_per_ev_atom=0.8057 e_form_raw_kcal_per_mol_atoms=22.05 pbc="T T T"
Mo -2.111 1.492 -2.514
P -1.548 -0.008 0.305
Cl -0.143 2.187 -0.673
Cl -0.420 -0.688 -2.146



11
Lattice="6.739 0.282 2.174 2.823 7.788 0.142 0.668 -1.787 8.063" Properties=species:S:1:pos:R:3 comment="MoP2Cl8, relaxed, DFT GGA-PBE" mass_density_g_cm3=1.9 crystal_system=monoclinic space_group=C2/m n_ef_per_ev_atom=0.0671 e_form_raw_kcal_per_mol_atoms=-12.09 pbc="T T T"
Mo 0.000 0.000 0.000
P 4.252 1.042 2.417
P 5.979 5.240 7.962
Cl 6.342 0.615 9.338
Cl 2.414 -0.882 6.459
Cl 1.006 1.245 1.779
Cl 9.224 5.038 8.601
Cl 7.816 7.165 3.921
Cl 3.888 5.667 1.041
Cl 3.889 2.367 3.920
Cl 6.341 3.915 6.459



4
Lattice="0.565 -4.346 0.920 -3.320 -2.339 1.888 -2.192 -3.096 -2.380" Properties=species:S:1:pos:R:3 comment="MoPCl2, relaxed, DFT GGA-PBE" mass_density_g_cm3=5.2 crystal_system=cubic space_group=Fm-3m n_ef_per_ev_atom=0.6438 e_form_raw_kcal_per_mol_atoms=19.15 pbc="T T T"
P 0.000 0.000 0.000
Mo -2.473 -4.890 0.214
Cl -1.237 -2.445 0.107
Cl -3.710 -7.336 0.321



4
Lattice="-0.477 -2.412 2.017 -0.702 -0.323 -3.085 8.547 -3.049 -1.626" Properties=species:S:1:pos:R:3 comment="MoPCl2, relaxed, DFT GGA-PBE" mass_density_g_cm3=4.1 crystal_system=orthorhombic space_group=Cmm2 n_ef_per_ev_atom=0.9471 e_form_raw_kcal_per_mol_atoms=3.84 pbc="T T T"
Cl 8.014 -2.858 -1.524
Cl 2.137 -2.340 -1.053
Mo 4.492 -1.602 -0.854
P 5.547 -3.556 -1.701



4
Lattice="6.683 0.087 -0.004 4.062 5.308 0.004 -4.842 -3.754 2.671" Properties=species:S:1:pos:R:3 comment="MoPCl2, relaxed, DFT GGA-PBE" mass_density_g_cm3=3.5 crystal_system=orthorhombic space_group=Imm2 n_ef_per_ev_atom=0.6124 e_form_raw_kcal_per_mol_atoms=1.79 pbc="T T T"
Cl 10.596 5.319 0.000
Cl 2.660 -0.961 1.334
Mo 5.325 2.673 0.000
P 3.441 2.700 1.337



4
Lattice="-1.792 2.478 0.653 -0.426 -2.889 1.119 7.037 2.608 9.413" Properties=species:S:1:pos:R:3 comment="MoPCl2, relaxed, DFT GGA-PBE" mass_density_g_cm3=3.4 crystal_system=orthorhombic space_group=Cmmm n_ef_per_ev_atom=0.7715 e_form_raw_kcal_per_mol_atoms=7.82 pbc="T T T"
Cl 0.618 0.229 0.827
Cl 2.900 1.075 3.879
Mo 0.650 0.447 3.239
P 4.169 1.751 7.946



4
Lattice="3.058 0.000 0.000 0.000 3.174 0.012 0.000 -0.031 7.072" Properties=species:S:1:pos:R:3 comment="MoP2Cl, relaxed, DFT GGA-PBE" mass_density_g_cm3=4.7 crystal_system=orthorhombic space_group=Pmmm n_ef_per_ev_atom=0.6966 e_form_raw_kcal_per_mol_atoms=-0.69 pbc="T T T"
Cl 1.529 0.786 1.771
Mo 1.529 2.357 5.313
P 0.000 0.765 6.615
P 0.000 0.775 4.000